## i
Density functional theory data (GGA-PBE) for a geometry-optimized TbSmNi structure.

Cell lengths 4.5407, 4.5407, 4.1539 Å; angles 90.00, 90.00, 120.00 degrees
Last column: nearest neighbours and their distance in Å.
Fractional coordinates of all 3 atoms:
Tb: 0.0000 0.0000 0.0000  3 Ni 2.79
Sm: 0.6667 0.3333 0.5196  3 Ni 2.89
Ni: 0.3333 0.6667 0.2284  3 Tb 2.79, 3 Sm 2.89

D(E_F)	3.3	states/eV per cell
space-group type	No. 156
M_tot	0.0	μB per cell

=====

## ii
Density functional theory data (GGA-PBE) for a geometry-optimized TbSmNi structure.

Cell lengths 3.5906, 3.5906, 7.3633 Å; angles 90.00, 90.00, 120.00 degrees
Last column: nearest neighbours and their distance in Å.
Fractional coordinates of all 3 atoms:
Tb: 0.0000 0.0000 0.0000  3 Ni 2.68
Sm: 0.3333 0.6667 0.4116  1 Ni 2.64
Ni: 0.3333 0.6667 0.7702  1 Sm 2.64, 3 Tb 2.68

D(E_F)	4.0	states/eV per cell
space-group type	No. 156
M_tot	0.0	μB per cell

=====

Ranking the structures above by energy, i is first and the second is 29.3 kJ/mol of atoms behind.